(1)
This record from Alexandria describes crystalline Zr2SiOs at its relaxed geometry. The functional is PBE.

Results
total magnetization = 0.00 μB/f.u.
E = -35.2 eV per cell
raw formation energy = -35.8 kJ/mol of atoms

Cell: 3.121 3.121 7.402 Å, 90.00 90.00 90.00°
Space group P4mm (No. 99)
One atom of each set of equivalent atoms:
Zr  0.000  0.000  0.000 x1
Zr  0.500  0.500  0.320 x1
Si  0.500  0.500  0.735 x1
Os  0.000  0.000  0.573 x1


(2)
This record from Alexandria describes crystalline Ba2LiPuO6 at its relaxed geometry. The functional is PBE.

Results
total magnetization = 1.00 μB/f.u.
E = -152.2 eV per cell
raw formation energy = -253.3 kJ/mol of atoms

Cell: 10.357 5.971 6.001 Å, 90.00 125.40 90.00°
Space group C2/m (No. 12)
One atom of each set of equivalent atoms:
Ba  0.250  0.000  0.250 x4
Li  0.000  0.000  0.500 x2
Pu  0.000  0.500  0.000 x2
O  0.016  0.262  0.778 x8
O  0.238  0.500  0.269 x4


(3)
This record from Alexandria describes crystalline CsPb2C at its relaxed geometry. The functional is PBE.

Results
total magnetization = 0.00 μB/f.u.
E = -54.8 eV per cell

Cell: 7.455 7.455 10.849 Å, 90.00 90.00 90.00°
Space group I-42d (No. 122)
One atom of each set of equivalent atoms:
Cs  0.000  0.000  0.000 x4
Pb  0.094  0.250  0.625 x8
C  0.000  0.000  0.500 x4


(4)
This record from Alexandria describes crystalline ScMnAg2 at its relaxed geometry. The functional is PBE.

Results
total magnetization = 3.45 μB/f.u.
distance to the lowest polymorph of the same formula = 69 meV per atom
E = -41.9 eV per cell

Cell: 9.717 3.249 4.789 Å, 90.00 105.47 90.00°
Space group Cm (No. 8)
One atom of each set of equivalent atoms:
Sc  0.000  0.000  0.000 x2
Mn  0.252  0.500  0.276 x2
Ag  0.244  0.000  0.757 x2
Ag  0.495  0.000  0.494 x2


(5)
This record from Alexandria describes crystalline CrCo2Au at its relaxed geometry. The functional is PBE.

Results
total magnetization = 3.29 μB/f.u.
distance to the lowest polymorph of the same formula = 53 meV per atom
E = -26.0 eV per cell

Cell: 3.757 3.757 3.622 Å, 90.00 90.00 90.00°
Space group P4/mmm (No. 123)
One atom of each set of equivalent atoms:
Cr  0.000  0.000  0.000 x1
Co  0.000  0.500  0.500 x2
Au  0.500  0.500  0.000 x1


(6)
This record from Alexandria describes crystalline KPuInSe3 at its relaxed geometry. The functional is PBE.

Results
total magnetization = 5.41 μB/f.u.
E = -69.3 eV per cell
raw formation energy = -97.3 kJ/mol of atoms

Cell: 8.602 4.616 10.357 Å, 90.00 107.85 90.00°
Space group P2_1/m (No. 11)
One atom of each set of equivalent atoms:
K  0.235  0.250  0.234 x2
Pu  0.315  0.750  0.871 x2
In  0.115  0.250  0.619 x2
Se  0.081  0.250  0.866 x2
Se  0.220  0.750  0.541 x2
Se  0.480  0.750  0.156 x2